Record 1
## TbSi6 (PBE)

Data for an optimized crystal structure of TbSi6.

a b c (Å): 6.644 6.644 6.644
angles (deg): 90.00 90.00 90.00
Space group Im-3m (No. 229)
Symmetry-distinct sites (fractional):
Tb: 0.000 0.000 0.000 (multiplicity 2)
Si: 0.000 0.250 0.500 (multiplicity 12)

Summary:
Uncorrected formation energy: 0.188 eV per atom

***

Record 2
## ZrNi2HgMo (PBE)

Data for an optimized crystal structure of ZrNi2HgMo.

a b c (Å): 4.622 4.622 4.864
angles (deg): 90.00 90.00 90.00
Space group P4/mmm (No. 123)
Symmetry-distinct sites (fractional):
Zr: 0.000 0.000 0.000 (multiplicity 1)
Ni: 0.000 0.500 0.000 (multiplicity 2)
Hg: 0.500 0.500 0.500 (multiplicity 1)
Mo: 0.000 0.000 0.500 (multiplicity 1)

Summary:
Formation enthalpy at 0 K: 1372 meV per atom

***

Record 3
## HoNpPdRu (PBE)

Data for an optimized crystal structure of HoNpPdRu.

a b c (Å): 6.861 6.861 6.861
angles (deg): 90.00 90.00 90.00
Space group F-43m (No. 216)
Symmetry-distinct sites (fractional):
Ho: 0.000 0.000 0.000 (multiplicity 4)
Np: 0.000 0.000 0.500 (multiplicity 4)
Pd: 0.250 0.250 0.750 (multiplicity 4)
Ru: 0.250 0.250 0.250 (multiplicity 4)

Summary:
Formation enthalpy at 0 K: -290 meV per atom

***

Record 4
## TaRe2Mo (PBE)

Data for an optimized crystal structure of TaRe2Mo.

a b c (Å): 3.154 4.520 8.952
angles (deg): 90.00 90.00 90.00
Space group Cmm2 (No. 35)
Symmetry-distinct sites (fractional):
Ta: 0.000 0.000 0.000 (multiplicity 2)
Re: 0.000 0.000 0.502 (multiplicity 2)
Re: 0.000 0.500 0.747 (multiplicity 2)
Mo: 0.000 0.500 0.257 (multiplicity 2)

Summary:
Energy above the lowest structure with this stoichiometry: 0.186 eV per atom
Formation enthalpy at 0 K: 34 meV per atom